No. 1
The following is a PBE-GGA calculation of a relaxed structure of Sr2LaAg3, from Alexandria via LeMat-Bulk.

a b c (Å): 5.4964 8.7089 7.8107
angles (deg): 90.00 90.00 71.61
Atoms (fractional coordinates):
Sr: 0.0000 0.0000 0.0000
Sr: 0.0000 0.0000 0.5000
Sr: 0.3330 0.3340 0.5000
Sr: 0.6670 0.6660 0.5000
La: 0.3351 0.3297 0.0000
La: 0.6649 0.6703 0.0000
Ag: 0.8274 0.3451 0.7731
Ag: 0.4997 0.0000 0.2409
Ag: 0.1726 0.6549 0.2269
Ag: 0.8275 0.3451 0.2269
Ag: 0.1725 0.6549 0.7731
Ag: 0.5003 0.0000 0.7591

The space-group type is Cmmm, No. 65. As for the magnetization: 0.00 μB per formula unit. The calculation puts the uncorrected energy at -0.1130 Ha/atom. The formation energy is -0.266 eV per atom. The calculation puts the density of states at the Fermi level at 0.86 states/eV per atom.

=====

No. 2
The following is a PBE-GGA calculation of a relaxed structure of SrLa5Ag6, from Alexandria via LeMat-Bulk.

a b c (Å): 5.4485 7.6269 8.6171
angles (deg): 90.00 71.57 90.00
Atoms (fractional coordinates):
Sr: 0.0000 0.0000 0.0000
Ag: 0.8291 0.7472 0.3418
Ag: 0.8291 0.2528 0.3418
Ag: 0.5000 0.2610 0.0000
Ag: 0.5000 0.7390 0.0000
Ag: 0.1709 0.7472 0.6582
Ag: 0.1709 0.2528 0.6582
La: 0.6662 0.5000 0.6675
La: 0.3353 0.0000 0.3294
La: 0.0000 0.5000 0.0000
La: 0.6647 0.0000 0.6706
La: 0.3338 0.5000 0.3325

The space-group type is Cmmm, No. 65. As for the magnetization: 0.00 μB per formula unit. The calculation puts the uncorrected energy at -0.1424 Ha/atom. The formation energy is -0.257 eV per atom. The calculation puts the density of states at the Fermi level at 0.97 states/eV per atom.

=====

No. 3
The following is a PBE-GGA calculation of a relaxed structure of SrLa2Ag, from Alexandria via LeMat-Bulk.

a b c (Å): 11.4568 11.4568 11.4568
angles (deg): 19.71 19.71 19.71
Atoms (fractional coordinates):
Ag: 0.7500 0.7500 0.7500
La: 0.0170 0.0170 0.0170
La: 0.4830 0.4830 0.4830
Sr: 0.2500 0.2500 0.2500

As for the energy above the most stable polymorph in this dataset: 147.6 meV/atom. The space-group type is R-3m, No. 166. As for the magnetization: 0.00 μB per formula unit. The calculation puts the uncorrected energy at -0.1301 Ha/atom. The formation energy is 0.056 eV per atom. The calculation puts the density of states at the Fermi level at 1.38 states/eV per atom.

=====

No. 4
The following is a PBE-GGA calculation of a relaxed structure of SrLa2Ag, from Alexandria via LeMat-Bulk.

a b c (Å): 3.8539 3.8460 10.2416
angles (deg): 67.98 90.00 90.00
Atoms (fractional coordinates):
Sr: 0.0000 0.4481 0.5517
Ag: 0.5000 0.7313 0.7682
La: 0.0000 0.0406 0.9589
La: 0.5000 0.2800 0.2211

As for the energy above the most stable polymorph in this dataset: 0.0 meV/atom. The space-group type is P4mm, No. 99. As for the magnetization: 0.00 μB per formula unit. The calculation puts the uncorrected energy at -0.1356 Ha/atom. The formation energy is -0.092 eV per atom. The calculation puts the density of states at the Fermi level at 1.51 states/eV per atom.

=====

No. 5
The following is a PBE-GGA calculation of a relaxed structure of SrLa2Ag, from Alexandria via LeMat-Bulk.

a b c (Å): 3.9222 3.9222 11.4646
angles (deg): 80.15 80.15 60.00
Atoms (fractional coordinates):
Sr: 0.4991 0.4991 0.5027
La: 0.0669 0.0669 0.7992
La: 0.2669 0.2669 0.1994
Ag: 0.6671 0.6671 0.9987

As for the energy above the most stable polymorph in this dataset: 160.1 meV/atom. The space-group type is R3m, No. 160. As for the magnetization: 0.00 μB per formula unit. The calculation puts the uncorrected energy at -0.1297 Ha/atom. The formation energy is 0.068 eV per atom. The calculation puts the density of states at the Fermi level at 1.50 states/eV per atom.

=====

No. 6
The following is a PBE-GGA calculation of a relaxed structure of SrLa2Ag, from Alexandria via LeMat-Bulk.

a b c (Å): 3.9561 3.9561 9.5270
angles (deg): 90.00 90.00 90.00
Atoms (fractional coordinates):
Ag: 0.5000 0.5000 0.7500
La: 0.0000 0.0000 0.9253
La: 0.0000 0.0000 0.5747
Sr: 0.5000 0.5000 0.2500

As for the energy above the most stable polymorph in this dataset: 59.1 meV/atom. The space-group type is P4/mmm, No. 123. As for the magnetization: 0.00 μB per formula unit. The calculation puts the uncorrected energy at -0.1334 Ha/atom. The formation energy is -0.033 eV per atom. The calculation puts the density of states at the Fermi level at 1.47 states/eV per atom.

=====

No. 7
The following is a PBE-GGA calculation of a relaxed structure of Sr2LaAg, from Alexandria via LeMat-Bulk.

a b c (Å): 6.8464 6.8464 6.8464
angles (deg): 137.03 137.03 62.39
Atoms (fractional coordinates):
Ag: 0.2500 0.7500 0.5000
La: 0.7500 0.2500 0.5000
Sr: 0.0000 0.0000 0.0000
Sr: 0.5000 0.5000 0.0000

As for the energy above the most stable polymorph in this dataset: 237.9 meV/atom. The space-group type is I4/mmm, No. 139. As for the magnetization: 0.00 μB per formula unit. The calculation puts the uncorrected energy at -0.0966 Ha/atom. The formation energy is 0.158 eV per atom. The calculation puts the density of states at the Fermi level at 1.09 states/eV per atom.

=====

No. 8
The following is a PBE-GGA calculation of a relaxed structure of SrLa2Ag, from Alexandria via LeMat-Bulk.

a b c (Å): 11.2119 11.2119 11.2119
angles (deg): 20.13 20.13 20.13
Atoms (fractional coordinates):
Ag: 0.7470 0.7470 0.7470
La: 0.0113 0.0113 0.0113
La: 0.2566 0.2566 0.2566
Sr: 0.4851 0.4851 0.4851

As for the energy above the most stable polymorph in this dataset: 105.5 meV/atom. The space-group type is R3m, No. 160. As for the magnetization: 0.00 μB per formula unit. The calculation puts the uncorrected energy at -0.1317 Ha/atom. The formation energy is 0.014 eV per atom. The calculation puts the density of states at the Fermi level at 1.04 states/eV per atom.

=====

No. 9
The following is a PBE-GGA calculation of a relaxed structure of Sr2LaAg, from Alexandria via LeMat-Bulk.

a b c (Å): 5.8975 5.8975 5.8975
angles (deg): 60.00 60.00 60.00
Atoms (fractional coordinates):
Sr: 0.2500 0.2500 0.2500
Sr: 0.7500 0.7500 0.7500
Ag: 0.0000 0.0000 0.0000
La: 0.5000 0.5000 0.5000

As for the energy above the most stable polymorph in this dataset: 314.5 meV/atom. The space-group type is Fm-3m, No. 225. As for the magnetization: 0.00 μB per formula unit. The calculation puts the uncorrected energy at -0.0937 Ha/atom. The formation energy is 0.235 eV per atom. The calculation puts the density of states at the Fermi level at 1.53 states/eV per atom.

=====

No. 10
The following is a PBE-GGA calculation of a relaxed structure of SrLa2Ag, from Alexandria via LeMat-Bulk.

a b c (Å): 7.2171 7.2171 5.8096
angles (deg): 66.32 66.32 30.10
Atoms (fractional coordinates):
Ag: 0.2500 0.2500 0.2500
La: 0.9603 0.9603 0.0397
La: 0.5397 0.5397 0.4603
Sr: 0.7500 0.7500 0.7500

As for the energy above the most stable polymorph in this dataset: 25.8 meV/atom. The space-group type is Immm, No. 71. As for the magnetization: 0.02 μB per formula unit. The calculation puts the uncorrected energy at -0.1346 Ha/atom. The formation energy is -0.066 eV per atom. The calculation puts the density of states at the Fermi level at 1.81 states/eV per atom.

=====

No. 11
The following is a PBE-GGA calculation of a relaxed structure of Sr5LaAg6, from Alexandria via LeMat-Bulk.

a b c (Å): 5.5546 9.5802 9.5802
angles (deg): 120.07 106.95 106.95
Atoms (fractional coordinates):
Sr: 0.5000 0.1708 0.8292
Sr: 0.0000 0.3368 0.6632
Sr: 0.5000 0.5000 0.5000
Sr: 0.0000 0.6632 0.3368
Sr: 0.5000 0.8292 0.1708
Ag: 0.2409 0.0786 0.4012
Ag: 0.7591 0.5988 0.9214
Ag: 0.7251 0.2257 0.2257
Ag: 0.2749 0.7743 0.7743
Ag: 0.2409 0.4012 0.0786
Ag: 0.7591 0.9214 0.5988
La: 0.0000 0.0000 0.0000

The space-group type is C2/m, No. 12. As for the magnetization: 0.00 μB per formula unit. The calculation puts the uncorrected energy at -0.1030 Ha/atom. The formation energy is -0.265 eV per atom. The calculation puts the density of states at the Fermi level at 0.81 states/eV per atom.

=====

No. 12
The following is a PBE-GGA calculation of a relaxed structure of SrLa4Ag, from Alexandria via LeMat-Bulk.

a b c (Å): 6.7670 6.7670 6.7670
angles (deg): 60.00 60.00 60.00
Atoms (fractional coordinates):
Sr: 0.7500 0.7500 0.7500
La: 0.8861 0.3713 0.3713
La: 0.3713 0.3713 0.8861
La: 0.3713 0.8861 0.3713
La: 0.3713 0.3713 0.3713
Ag: 0.0000 0.0000 0.0000

The space-group type is F-43m, No. 216. As for the magnetization: 0.01 μB per formula unit. The calculation puts the uncorrected energy at -0.1362 Ha/atom. The formation energy is 0.335 eV per atom. The calculation puts the density of states at the Fermi level at 1.61 states/eV per atom.

=====

No. 13
The following is a PBE-GGA calculation of a relaxed structure of Sr3LaAg4, from Alexandria via LeMat-Bulk.

a b c (Å): 3.8996 3.8996 15.7098
angles (deg): 90.00 90.00 90.00
Atoms (fractional coordinates):
Sr: 0.5000 0.5000 0.2468
Sr: 0.5000 0.5000 0.5000
Sr: 0.5000 0.5000 0.7532
Ag: 0.0000 0.0000 0.8882
Ag: 0.0000 0.0000 0.1118
Ag: 0.0000 0.0000 0.3744
Ag: 0.0000 0.0000 0.6256
La: 0.5000 0.5000 0.0000

The space-group type is P4/mmm, No. 123. As for the magnetization: 0.00 μB per formula unit. The calculation puts the uncorrected energy at -0.1080 Ha/atom. The formation energy is -0.268 eV per atom. The calculation puts the density of states at the Fermi level at 0.84 states/eV per atom.

=====

No. 14
The following is a PBE-GGA calculation of a relaxed structure of SrLa2Ag, from Alexandria via LeMat-Bulk.

a b c (Å): 5.3428 4.0304 6.7858
angles (deg): 72.70 90.00 90.00
Atoms (fractional coordinates):
Ag: 0.5000 0.7500 0.7500
La: 0.0000 0.9373 0.9594
La: 0.0000 0.5627 0.5406
Sr: 0.5000 0.2500 0.2500

As for the energy above the most stable polymorph in this dataset: 133.7 meV/atom. The space-group type is P2/m, No. 10. As for the magnetization: 0.00 μB per formula unit. The calculation puts the uncorrected energy at -0.1306 Ha/atom. The formation energy is 0.042 eV per atom. The calculation puts the density of states at the Fermi level at 1.30 states/eV per atom.

=====

No. 15
The following is a PBE-GGA calculation of a relaxed structure of SrLa2Ag, from Alexandria via LeMat-Bulk.

a b c (Å): 9.2821 9.2821 7.3949
angles (deg): 51.13 51.13 90.00
Atoms (fractional coordinates):
Sr: 0.5000 0.5000 0.0000
Sr: 0.2500 0.7500 0.5000
Ag: 0.0000 0.0000 0.0000
Ag: 0.7500 0.2500 0.5000
La: 0.6812 0.1250 0.2500
La: 0.0688 0.6250 0.2500
La: 0.3750 0.3188 0.7500
La: 0.8750 0.9312 0.7500

As for the energy above the most stable polymorph in this dataset: 187.0 meV/atom. The space-group type is I-42d, No. 122. As for the magnetization: 0.00 μB per formula unit. The calculation puts the uncorrected energy at -0.1287 Ha/atom. The formation energy is 0.095 eV per atom. The calculation puts the density of states at the Fermi level at 1.73 states/eV per atom.

=====

No. 16
The following is a PBE-GGA calculation of a relaxed structure of SrLa2Ag, from Alexandria via LeMat-Bulk.

a b c (Å): 5.9555 7.0227 3.7068
angles (deg): 77.26 84.13 113.39
Atoms (fractional coordinates):
Ag: 0.5000 0.5000 0.0000
La: 0.0000 0.0000 0.0000
La: 0.5000 0.0000 0.5000
Sr: 0.0000 0.5000 0.5000

As for the energy above the most stable polymorph in this dataset: 204.2 meV/atom. The space-group type is C2/m, No. 12. As for the magnetization: 0.00 μB per formula unit. The calculation puts the uncorrected energy at -0.1281 Ha/atom. The formation energy is 0.112 eV per atom. The calculation puts the density of states at the Fermi level at 1.13 states/eV per atom.

=====

No. 17
The following is a PBE-GGA calculation of a relaxed structure of Sr2LaAg6, from Alexandria via LeMat-Bulk.

a b c (Å): 3.8755 8.4131 8.4131
angles (deg): 120.00 90.00 90.00
Atoms (fractional coordinates):
Sr: 0.0000 0.3333 0.6667
Sr: 0.0000 0.6667 0.3333
La: 0.0000 0.0000 0.0000
Ag: 0.5000 0.3315 0.3315
Ag: 0.5000 0.6685 0.6685
Ag: 0.5000 0.0000 0.6685
Ag: 0.5000 0.6685 0.0000
Ag: 0.5000 0.3315 0.0000
Ag: 0.5000 0.0000 0.3315

The space-group type is P6/mmm, No. 191. As for the magnetization: 0.00 μB per formula unit. The calculation puts the uncorrected energy at -0.1139 Ha/atom. The formation energy is -0.277 eV per atom. The calculation puts the density of states at the Fermi level at 0.45 states/eV per atom.

=====

No. 18
The following is a PBE-GGA calculation of a relaxed structure of Sr2LaAg, from Alexandria via LeMat-Bulk.

a b c (Å): 7.3032 7.3032 6.1202
angles (deg): 65.21 65.21 31.62
Atoms (fractional coordinates):
Ag: 0.5058 0.5058 0.4961
La: 0.1971 0.1971 0.3021
Sr: 0.9991 0.9991 0.0007
Sr: 0.7980 0.7980 0.7011

As for the energy above the most stable polymorph in this dataset: 57.2 meV/atom. The space-group type is Cm, No. 8. As for the magnetization: 0.00 μB per formula unit. The calculation puts the uncorrected energy at -0.1032 Ha/atom. The formation energy is -0.022 eV per atom. The calculation puts the density of states at the Fermi level at 1.24 states/eV per atom.

=====

No. 19
The following is a PBE-GGA calculation of a relaxed structure of Sr2LaAg, from Alexandria via LeMat-Bulk.

a b c (Å): 9.7531 9.7531 7.6975
angles (deg): 50.69 50.69 90.00
Atoms (fractional coordinates):
Sr: 0.5505 0.1250 0.2500
Sr: 0.1995 0.6250 0.2500
Sr: 0.3750 0.4495 0.7500
Sr: 0.8750 0.8005 0.7500
Ag: 0.5000 0.5000 0.0000
Ag: 0.2500 0.7500 0.5000
La: 0.0000 0.0000 0.0000
La: 0.7500 0.2500 0.5000

As for the energy above the most stable polymorph in this dataset: 235.9 meV/atom. The space-group type is I-42d, No. 122. As for the magnetization: 0.57 μB per formula unit. The calculation puts the uncorrected energy at -0.0966 Ha/atom. The formation energy is 0.156 eV per atom. The calculation puts the density of states at the Fermi level at 1.51 states/eV per atom.

=====

No. 20
The following is a PBE-GGA calculation of a relaxed structure of SrLaAg, from Alexandria via LeMat-Bulk.

a b c (Å): 4.0412 4.0412 7.8585
angles (deg): 90.00 90.00 120.00
Atoms (fractional coordinates):
Ag: 0.0000 0.0000 0.0079
La: 0.6667 0.3333 0.2768
Sr: 0.3333 0.6667 0.7154

As for the energy above the most stable polymorph in this dataset: 139.3 meV/atom. The space-group type is P3m1, No. 156. As for the magnetization: 0.02 μB per formula unit. The calculation puts the uncorrected energy at -0.1150 Ha/atom. The formation energy is 0.023 eV per atom. The calculation puts the density of states at the Fermi level at 1.51 states/eV per atom.